{
  "formula": "BaBe2V2O7",
  "functional": "PBE+U",
  "state": "relaxed",
  "dft_energy_ev_per_atom": -7.017,
  "volume_a3_per_atom": 15.9,
  "sg": "R32",
  "magmom_total_mub_per_cell": 2.00,
  "lattice_angstrom": [[5.247, 0.000, 0.000], [2.623, 4.544, 0.000], [2.623, 1.515, 7.998]],
  "species": ["O", "O", "O", "O", "O", "O", "O", "V", "V", "Be", "Be", "Ba"],
  "fractional_positions": [[0.000, 0.000, 0.000], [0.172, 0.963, 0.277], [0.828, 0.412, 0.723], [0.412, 0.037, 0.723], [0.037, 0.828, 0.723], [0.588, 0.172, 0.277], [0.963, 0.588, 0.277], [0.262, 0.262, 0.213], [0.738, 0.738, 0.787], [0.063, 0.063, 0.811], [0.937, 0.937, 0.189], [0.500, 0.500, 0.500]]
}